The following is a PBE calculation of a relaxed structure of CaMnTc2, from the Alexandria database.

Geometry as extended XYZ:
```
4
Lattice="-2.3266 2.7126 2.8096 -1.8333 -3.6463 2.0022 4.5135 0.3904 -0.3169" Properties=species:S:1:pos:R:3 pbc="T T T"
Tc 0.0000 0.0000 0.0000
Tc 0.3001 -1.8614 2.0456
Mn 0.0534 1.3181 2.4493
Ca -2.0800 -0.4668 2.4059
```

Values from the calculation:
Polymorph energy (0 for the lowest one) (meV/atom): 216
Density of states at the Fermi level (states/eV/atom): 1.255
Total energy (eV per atom): -7.435
Formation energy from the elements (eV per atom): 0.541
Size of the total moment (μB/f.u.): 3.1
Crystal system: tetragonal

***

The following is a PBE calculation of a relaxed structure of Ac2Bi2O5, from the Alexandria database.

Geometry as extended XYZ:
```
9
Lattice="4.2483 0.0004 -1.5435 -0.9352 5.2686 -2.5724 0.4241 -0.2884 7.7840" Properties=species:S:1:pos:R:3 pbc="T T T"
Bi 3.9633 0.8701 4.2894
Bi -0.2261 4.1105 -0.6213
O 0.0000 0.0000 0.0000
O 3.2712 2.1990 2.3851
O 2.0100 0.6692 5.5311
O 0.4660 2.7816 1.2830
O 1.7272 4.3114 -1.8630
Ac 2.4636 1.5663 0.1626
Ac 1.2736 3.4143 3.5055
```

Values from the calculation:
Formation energy (no corrections) (meV/atom): -2168
Total energy (eV per atom): -6.698
Size of the total moment (μB/f.u.): 0.0
Crystal system: monoclinic

***

The following is a PBE calculation of a relaxed structure of KAgTe2, from the Alexandria database.

Geometry as extended XYZ:
```
4
Lattice="5.7991 -0.0003 0.0000 1.4092 5.6252 0.0000 -3.6041 -2.8124 3.5678" Properties=species:S:1:pos:R:3 pbc="T T T"
Te 3.6041 2.8124 0.0000
Te 0.0000 0.0000 0.0000
Ag 0.7046 2.8126 1.7839
K 2.8995 -0.0002 1.7839
```

Values from the calculation:
Density of states at the Fermi level (states/eV/atom): 0.329
Formation energy (no corrections) (meV/atom): -159
Total energy (eV per atom): -2.717
Size of the total moment (μB/f.u.): 0.0
Crystal system: tetragonal

***

What did the third record say?
The following is a PBE calculation of a relaxed structure of KAgTe2, from the Alexandria database.

Geometry as extended XYZ:
```
4
Lattice="5.7991 -0.0003 0.0000 1.4092 5.6252 0.0000 -3.6041 -2.8124 3.5678" Properties=species:S:1:pos:R:3 pbc="T T T"
Te 3.6041 2.8124 0.0000
Te 0.0000 0.0000 0.0000
Ag 0.7046 2.8126 1.7839
K 2.8995 -0.0002 1.7839
```

Values from the calculation:
Density of states at the Fermi level (states/eV/atom): 0.329
Formation energy (no corrections) (meV/atom): -159
Total energy (eV per atom): -2.717
Size of the total moment (μB/f.u.): 0.0
Crystal system: tetragonal

***

> Number 3 is which compound?

KAgTe2

***

> What is the formula in the third record?

KAgTe2

***

> Which value of total energy does entry 2 give?

-6.698 eV per atom